Entry 1:
# TmPaTe4, relaxed, DFT PBE
data_TmPaTe4
_symmetry_space_group_name_H-M 'P 1'
_symmetry_Int_Tables_number 1
_symmetry_space_group_name_Hall 'P 1'
_cell_length_a 4.469
_cell_length_b 7.171
_cell_length_c 7.170
_cell_angle_alpha 88.92
_cell_angle_beta 90.00
_cell_angle_gamma 90.00
loop_
_atom_site_label
_atom_site_type_symbol
_atom_site_fract_x
_atom_site_fract_y
_atom_site_fract_z
Te1 Te 0.500 0.702 0.298
Te2 Te 0.500 0.298 0.702
Pa1 Pa 0.500 0.000 0.000
Tm1 Tm 0.000 0.500 0.500
Te3 Te 0.000 0.198 0.198
Te4 Te 0.000 0.802 0.802
# Size of the total moment = 0.10 μB per formula unit
# Formation energy from raw total energies = -908 meV/atom
# Electronic total energy = -5.33 eV per atom
# SG = Cmmm (65)
# Energy above the lowest structure with this stoichiometry = 0.1164 eV/atom
# DOS at the Fermi energy = 0.171 states/eV/atom

Entry 2:
# TmPaTe6, relaxed, DFT PBE
data_TmPaTe6
_symmetry_space_group_name_H-M 'P 1'
_symmetry_Int_Tables_number 1
_symmetry_space_group_name_Hall 'P 1'
_cell_length_a 4.395
_cell_length_b 4.399
_cell_length_c 13.224
_cell_angle_alpha 90.00
_cell_angle_beta 99.56
_cell_angle_gamma 90.00
loop_
_atom_site_label
_atom_site_type_symbol
_atom_site_fract_x
_atom_site_fract_y
_atom_site_fract_z
Te1 Te 0.581 0.500 0.162
Te2 Te 0.707 0.000 0.413
Tm1 Tm 0.830 0.000 0.661
Te3 Te 0.081 0.000 0.162
Te4 Te 0.420 0.000 0.839
Te5 Te 0.920 0.500 0.840
Te6 Te 0.292 0.500 0.584
Pa1 Pa 0.170 0.500 0.340
# Size of the total moment = 0.91 μB per formula unit
# Formation energy from raw total energies = -776 meV/atom
# Electronic total energy = -4.88 eV per atom
# SG = Amm2 (38)
# DOS at the Fermi energy = 0.723 states/eV/atom

Entry 3:
# TmPaTe3, relaxed, DFT PBE
data_TmPaTe3
_symmetry_space_group_name_H-M 'P 1'
_symmetry_Int_Tables_number 1
_symmetry_space_group_name_Hall 'P 1'
_cell_length_a 4.278
_cell_length_b 7.583
_cell_length_c 11.014
_cell_angle_alpha 103.55
_cell_angle_beta 90.00
_cell_angle_gamma 90.00
loop_
_atom_site_label
_atom_site_type_symbol
_atom_site_fract_x
_atom_site_fract_y
_atom_site_fract_z
Te1 Te 0.250 0.264 0.495
Pa1 Pa 0.250 0.867 0.349
Te2 Te 0.750 0.523 0.830
Te3 Te 0.750 0.736 0.505
Te4 Te 0.250 0.477 0.170
Tm1 Tm 0.250 0.735 0.995
Te5 Te 0.250 0.028 0.838
Te6 Te 0.750 0.972 0.162
Pa2 Pa 0.750 0.133 0.651
Tm2 Tm 0.750 0.265 0.005
# Size of the total moment = 1.80 μB per formula unit
# Formation energy from raw total energies = -999 meV/atom
# Electronic total energy = -5.68 eV per atom
# SG = P2_1/m (11)
# Energy above the lowest structure with this stoichiometry = 0.0000 eV/atom
# DOS at the Fermi energy = 1.202 states/eV/atom

Entry 4:
# TmPaTe4, relaxed, DFT PBE
data_TmPaTe4
_symmetry_space_group_name_H-M 'P 1'
_symmetry_Int_Tables_number 1
_symmetry_space_group_name_Hall 'P 1'
_cell_length_a 4.369
_cell_length_b 7.210
_cell_length_c 7.396
_cell_angle_alpha 89.29
_cell_angle_beta 90.00
_cell_angle_gamma 90.00
loop_
_atom_site_label
_atom_site_type_symbol
_atom_site_fract_x
_atom_site_fract_y
_atom_site_fract_z
Te1 Te 0.500 0.761 0.174
Te2 Te 0.500 0.239 0.826
Pa1 Pa 0.500 0.000 0.500
Te3 Te 0.000 0.243 0.337
Tm1 Tm 0.000 0.000 0.000
Te4 Te 0.000 0.757 0.663
# Size of the total moment = 0.00 μB per formula unit
# Formation energy from raw total energies = -1024 meV/atom
# Electronic total energy = -5.45 eV per atom
# SG = P2/m (10)
# Energy above the lowest structure with this stoichiometry = 0.0000 eV/atom

Entry 5:
# TmPa2Te6, relaxed, DFT PBE
data_TmPa2Te6
_symmetry_space_group_name_H-M 'P 1'
_symmetry_Int_Tables_number 1
_symmetry_space_group_name_Hall 'P 1'
_cell_length_a 7.267
_cell_length_b 7.267
_cell_length_c 13.198
_cell_angle_alpha 90.00
_cell_angle_beta 90.00
_cell_angle_gamma 90.00
loop_
_atom_site_label
_atom_site_type_symbol
_atom_site_fract_x
_atom_site_fract_y
_atom_site_fract_z
Te1 Te 0.702 0.702 0.332
Te2 Te 0.798 0.202 0.832
Tm1 Tm 0.000 0.000 0.000
Te3 Te 0.298 0.298 0.668
Te4 Te 0.798 0.202 0.168
Tm2 Tm 0.500 0.500 0.500
Te5 Te 0.202 0.798 0.168
Te6 Te 0.701 0.701 0.000
Te7 Te 0.702 0.702 0.668
Te8 Te 0.799 0.201 0.500
Te9 Te 0.299 0.299 0.000
Te10 Te 0.202 0.798 0.832
Pa1 Pa 0.000 0.000 0.334
Pa2 Pa 0.000 0.000 0.666
Pa3 Pa 0.500 0.500 0.166
Te11 Te 0.201 0.799 0.500
Pa4 Pa 0.500 0.500 0.834
Te12 Te 0.298 0.298 0.332
# Size of the total moment = 1.09 μB per formula unit
# Formation energy from raw total energies = -841 meV/atom
# Electronic total energy = -5.54 eV per atom
# SG = P4_2/mnm (136)
# DOS at the Fermi energy = 0.559 states/eV/atom

Entry 6:
# UPaTe6, relaxed, DFT PBE
data_UPaTe6
_symmetry_space_group_name_H-M 'P 1'
_symmetry_Int_Tables_number 1
_symmetry_space_group_name_Hall 'P 1'
_cell_length_a 4.355
_cell_length_b 4.484
_cell_length_c 13.121
_cell_angle_alpha 90.00
_cell_angle_beta 99.55
_cell_angle_gamma 90.00
loop_
_atom_site_label
_atom_site_type_symbol
_atom_site_fract_x
_atom_site_fract_y
_atom_site_fract_z
Te1 Te 0.294 0.500 0.588
U1 U 0.831 0.000 0.662
Pa1 Pa 0.169 0.500 0.339
Te2 Te 0.421 0.000 0.841
Te3 Te 0.080 0.000 0.160
Te4 Te 0.580 0.500 0.159
Te5 Te 0.705 0.000 0.410
Te6 Te 0.920 0.500 0.841
# Size of the total moment = 3.65 μB per formula unit
# Formation energy from raw total energies = -596 meV/atom
# Electronic total energy = -5.55 eV per atom
# SG = Amm2 (38)
# DOS at the Fermi energy = 1.551 states/eV/atom

Entry 7:
# U2PaTe6, relaxed, DFT PBE
data_U2PaTe6
_symmetry_space_group_name_H-M 'P 1'
_symmetry_Int_Tables_number 1
_symmetry_space_group_name_Hall 'P 1'
_cell_length_a 5.743
_cell_length_b 5.743
_cell_length_c 11.729
_cell_angle_alpha 104.17
_cell_angle_beta 104.17
_cell_angle_gamma 90.00
loop_
_atom_site_label
_atom_site_type_symbol
_atom_site_fract_x
_atom_site_fract_y
_atom_site_fract_z
Pa1 Pa 0.500 0.500 0.000
Te1 Te 0.320 0.852 0.172
Te2 Te 0.250 0.750 0.500
U1 U 0.808 0.808 0.616
U2 U 0.192 0.192 0.384
Te3 Te 0.750 0.250 0.500
Te4 Te 0.680 0.680 0.828
Te5 Te 0.148 0.148 0.828
Te6 Te 0.852 0.320 0.172
# Size of the total moment = 5.06 μB per formula unit
# Formation energy from raw total energies = -324 meV/atom
# Electronic total energy = -5.98 eV per atom
# SG = I-42m (121)
# DOS at the Fermi energy = 1.763 states/eV/atom

Entry 8:
# UPaTe, relaxed, DFT PBE
data_UPaTe
_symmetry_space_group_name_H-M 'P 1'
_symmetry_Int_Tables_number 1
_symmetry_space_group_name_Hall 'P 1'
_cell_length_a 3.717
_cell_length_b 3.717
_cell_length_c 5.751
_cell_angle_alpha 108.86
_cell_angle_beta 108.86
_cell_angle_gamma 90.00
loop_
_atom_site_label
_atom_site_type_symbol
_atom_site_fract_x
_atom_site_fract_y
_atom_site_fract_z
Pa1 Pa 0.700 0.700 0.401
U1 U 0.300 0.300 0.600
Te1 Te 0.999 0.999 0.999
# Size of the total moment = 0.00 μB per formula unit
# Formation energy from raw total energies = -166 meV/atom
# Electronic total energy = -8.14 eV per atom
# SG = I4mm (107)
# DOS at the Fermi energy = 1.877 states/eV/atom